# Zn5Ag3

Zn5Ag3 at its PBEsol-relaxed geometry (meta-GGA SCAN, Alexandria).

POSCAR file:
```
Zn5Ag3
1.0
-2.233 -3.948 -2.120
5.133 -4.888 -2.215
-1.439 -5.135 5.168
Ag Zn
6 10
direct
0.675 0.500 0.150
0.750 0.000 0.000
0.175 0.150 0.500
0.825 0.850 0.500
0.250 0.000 0.000
0.325 0.500 0.850
0.236 0.836 0.693
0.929 0.307 0.836
0.250 0.500 0.500
0.429 0.836 0.307
0.736 0.693 0.836
0.264 0.307 0.164
0.571 0.164 0.693
0.750 0.500 0.500
0.071 0.693 0.164
0.764 0.164 0.307
```

Results
**Energy of formation from the pure elements**: 0.0496 eV/atom
**N(E_F)**: 2.66 states/eV/cell
**ρ**: 8.8 g cm⁻³
**Space group**: No. 140
**Energy above the most stable polymorph in this dataset**: 53 meV per atom
**E**: -322.56 eV/cell